Record 1
# YV2Cl8

A relaxed structure of YV2Cl8 (PBE, Alexandria).

Properties
For the density of states at the Fermi level, the calculation gives 5.59 states/eV/f.u. For the uncorrected formation energy, the calculation gives -1.417 eV/atom.

Cell: 12.226 9.662 6.306 Å, 90.00 93.51 90.00°
Space group C2/m (No. 12)
Symmetry-distinct sites (fractional):
Y1 0.000 0.000 0.000 (multiplicity 2)
V1 0.209 0.000 0.645 (multiplicity 4)
Cl1 0.102 0.182 0.762 (multiplicity 8)
Cl2 0.122 0.500 0.214 (multiplicity 4)
Cl3 0.176 0.000 0.273 (multiplicity 4)

=====

Record 2
# YVCl3

A relaxed structure of YVCl3 (PBE, Alexandria).

Properties
The energy above the most stable polymorph in this dataset comes out at 91 meV per atom. For the density of states at the Fermi level, the calculation gives 5.03 states/eV/f.u. For the uncorrected formation energy, the calculation gives -0.671 eV/atom.

Cell: 4.896 4.896 4.896 Å, 90.00 90.00 90.00°
Space group Pm-3m (No. 221)
Symmetry-distinct sites (fractional):
Y1 0.000 0.000 0.000 (multiplicity 1)
V1 0.500 0.500 0.500 (multiplicity 1)
Cl1 0.000 0.500 0.500 (multiplicity 3)

=====

> Which formula does entry 1 have?

YV2Cl8

=====

> The lowest uncorrected formation energy belongs to which entry?

YV2Cl8